1.
Here is a geometry-optimized RbIn2Ga2 structure from Alexandria via LeMat-Bulk. Energies are from GGA-PBEsol.

Computed properties:
Formation energy   -9.0 kJ per mole of atoms

Cell: 4.713 4.713 11.928 Å, 90.00 90.00 90.00°
Space group I4/mmm (No. 139)
Unique sites:
Rb (0.000, 0.000, 0.000) x2
In (0.000, 0.000, 0.378) x4
Ga (0.000, 0.500, 0.250) x4

***

2.
Here is a geometry-optimized In2GaRh2 structure from Alexandria via LeMat-Bulk. Energies are from GGA-PBEsol.

Computed properties:
Formation energy   -41.0 kJ per mole of atoms

Cell: 6.481 6.481 4.060 Å, 90.00 90.00 90.00°
Space group P4/mbm (No. 127)
Unique sites:
In (0.157, 0.343, 0.000) x4
Ga (0.000, 0.000, 0.500) x2
Rh (0.152, 0.652, 0.500) x4

***

3.
Here is a geometry-optimized InGa2Rh2 structure from Alexandria via LeMat-Bulk. Energies are from GGA-PBEsol.

Computed properties:
Formation energy   -48.9 kJ per mole of atoms

Cell: 7.194 7.194 2.970 Å, 90.00 90.00 90.00°
Space group P4/mbm (No. 127)
Unique sites:
In (0.000, 0.000, 0.000) x2
Ga (0.145, 0.355, 0.500) x4
Rh (0.150, 0.650, 0.000) x4

***

4.
Here is a geometry-optimized InGa2Ru2 structure from Alexandria via LeMat-Bulk. Energies are from GGA-PBEsol.

Computed properties:
Formation energy   -18.5 kJ per mole of atoms

Cell: 7.028 7.028 3.106 Å, 90.00 90.00 90.00°
Space group P4/mbm (No. 127)
Unique sites:
In (0.000, 0.000, 0.000) x2
Ga (0.146, 0.354, 0.500) x4
Ru (0.149, 0.649, 0.000) x4

***

5.
Here is a geometry-optimized In2GaRu2 structure from Alexandria via LeMat-Bulk. Energies are from GGA-PBEsol.

Computed properties:
Formation energy   -11.7 kJ per mole of atoms

Cell: 6.479 6.479 4.070 Å, 90.00 90.00 90.00°
Space group P4/mbm (No. 127)
Unique sites:
In (0.161, 0.339, 0.000) x4
Ga (0.000, 0.000, 0.500) x2
Ru (0.145, 0.645, 0.500) x4

***

6.
Here is a geometry-optimized InGaS3 structure from Alexandria via LeMat-Bulk. Energies are from GGA-PBEsol.

Computed properties:
Formation energy without anion corrections   -593 meV/atom

Cell: 6.604 6.607 15.071 Å, 86.33 82.07 60.06°
Space group P1 (No. 1)
Unique sites:
In (0.000, 0.000, 0.000) x1
In (0.087, 0.674, 0.727) x1
In (0.348, 0.347, 0.992) x1
In (0.662, 0.685, 0.992) x1
In (0.758, 0.337, 0.728) x1
Ga (0.155, 0.364, 0.437) x1
Ga (0.418, 0.009, 0.743) x1
Ga (0.511, 0.653, 0.437) x1
Ga (0.593, 0.008, 0.305) x1
Ga (0.926, 0.326, 0.242) x1
S (0.035, 0.673, 0.892) x1
S (0.139, 0.308, 0.666) x1
S (0.172, 0.665, 0.490) x1
S (0.242, 0.349, 0.278) x1
S (0.314, 0.676, 0.081) x1
S (0.362, 0.017, 0.891) x1
S (0.442, 0.702, 0.669) x1
S (0.496, 0.009, 0.460) x1
S (0.580, 0.668, 0.278) x1
S (0.634, 0.012, 0.081) x1
S (0.715, 0.337, 0.892) x1
S (0.746, 0.006, 0.665) x1
S (0.828, 0.349, 0.488) x1
S (0.941, 0.985, 0.266) x1
S (0.977, 0.348, 0.080) x1

***

7.
Here is a geometry-optimized InGaS3 structure from Alexandria via LeMat-Bulk. Energies are from GGA-PBEsol.

Computed properties:
Formation energy without anion corrections   -639 meV/atom

Cell: 3.751 19.384 6.144 Å, 90.00 90.00 90.00°
Space group Cmc2_1 (No. 36)
Unique sites:
In (0.000, 0.167, 0.000) x4
Ga (0.000, 0.383, 0.054) x4
S (0.000, 0.066, 0.706) x4
S (0.000, 0.279, 0.241) x4
S (0.000, 0.397, 0.693) x4

***

8.
Here is a geometry-optimized InGaS3 structure from Alexandria via LeMat-Bulk. Energies are from GGA-PBEsol.

Computed properties:
Formation energy without anion corrections   -639 meV/atom

Cell: 6.6801 6.6801 17.9085 Å, 90.00 90.00 120.00°
Space group P6_1 (No. 169)
Unique sites:
In (0.0059, 0.6719, 0.0000) x6
Ga (0.0127, 0.6834, 0.3604) x6
S (0.0132, 0.2963, 0.9888) x6
S (0.0275, 0.3754, 0.6486) x6
S (0.0493, 0.6812, 0.8506) x6

***

9.
Here is a geometry-optimized InGaSnS2 structure from Alexandria via LeMat-Bulk. Energies are from GGA-PBEsol.

Computed properties:
Formation energy without anion corrections   313 meV/atom

Cell: 5.087 5.087 5.432 Å, 90.00 90.00 90.00°
Space group P4/mmm (No. 123)
Unique sites:
In (0.000, 0.000, 0.000) x1
Ga (0.500, 0.500, 0.000) x1
Sn (0.000, 0.000, 0.500) x1
S (0.000, 0.500, 0.500) x2

***

10.
Here is a geometry-optimized Sc2InGa2 structure from Alexandria via LeMat-Bulk. Energies are from GGA-PBEsol.

Computed properties:
Formation energy   -58.9 kJ per mole of atoms

Cell: 6.896 6.896 4.053 Å, 90.00 90.00 90.00°
Space group P4/mbm (No. 127)
Unique sites:
Sc (0.171, 0.329, 0.000) x4
In (0.000, 0.000, 0.500) x2
Ga (0.126, 0.626, 0.500) x4

***

11.
Here is a geometry-optimized InGaSe2 structure from Alexandria via LeMat-Bulk. Energies are from GGA-PBEsol.

Computed properties:
Formation energy without anion corrections   -498 meV/atom

Cell: 8.083 8.083 6.045 Å, 90.00 90.00 90.00°
Space group P4/ncc (No. 130, origin choice 2)
Unique sites:
In (0.250, 0.250, 0.247) x4
Ga (0.250, 0.750, 0.000) x4
Se (0.085, 0.585, 0.250) x8

***

12.
Here is a geometry-optimized InGaSe2 structure from Alexandria via LeMat-Bulk. Energies are from GGA-PBEsol.

Computed properties:
Formation energy without anion corrections   -471 meV/atom

Cell: 7.890 7.890 6.275 Å, 90.00 90.00 90.00°
Space group I4/mcm (No. 140)
Unique sites:
In (0.000, 0.000, 0.250) x4
Ga (0.000, 0.500, 0.250) x4
Se (0.167, 0.333, 0.000) x8

***

13.
Here is a geometry-optimized TlIn2GaSe4 structure from Alexandria via LeMat-Bulk. Energies are from GGA-PBEsol.

Computed properties:
Formation energy without anion corrections   -476 meV/atom

Cell: 6.564 7.909 7.936 Å, 90.00 90.00 90.00°
Space group I222 (No. 23)
Unique sites:
Tl (0.000, 0.000, 0.000) x2
In (0.000, 0.500, 0.000) x2
In (0.000, 0.500, 0.500) x2
Ga (0.000, 0.000, 0.500) x2
Se (0.230, 0.172, 0.671) x8

***

14.
Here is a geometry-optimized In3GaSi structure from Alexandria via LeMat-Bulk. Energies are from GGA-PBEsol.

Computed properties:
Formation energy without anion corrections   486 meV/atom

Cell: 5.135 5.135 5.135 Å, 90.00 90.00 90.00°
Space group Pm-3m (No. 221)
Unique sites:
In (0.000, 0.000, 0.500) x3
Ga (0.500, 0.500, 0.500) x1
Si (0.000, 0.000, 0.000) x1

***

15.
Here is a geometry-optimized In2Ga2Sn structure from Alexandria via LeMat-Bulk. Energies are from GGA-PBEsol.

Computed properties:
Distance to the lowest polymorph of the same formula   3.6 meV per atom
Formation energy   6.5 kJ per mole of atoms

Cell: 3.777 3.777 16.334 Å, 90.00 90.00 90.00°
Space group I4/mmm (No. 139)
Unique sites:
In (0.000, 0.000, 0.107) x4
Ga (0.000, 0.500, 0.250) x4
Sn (0.000, 0.000, 0.500) x2

***

16.
Here is a geometry-optimized In2Ga2Sn structure from Alexandria via LeMat-Bulk. Energies are from GGA-PBEsol.

Computed properties:
Distance to the lowest polymorph of the same formula   0.0 meV per atom
Formation energy   6.2 kJ per mole of atoms

Cell: 8.459 8.459 3.183 Å, 90.00 90.00 90.00°
Space group P4/mbm (No. 127)
Unique sites:
In (0.148, 0.352, 0.000) x4
Ga (0.150, 0.650, 0.500) x4
Sn (0.000, 0.000, 0.000) x2

***

17.
Here is a geometry-optimized InGa2Sn structure from Alexandria via LeMat-Bulk. Energies are from GGA-PBEsol.

Computed properties:
Formation energy   3.6 kJ per mole of atoms

Cell: 7.065 7.065 7.065 Å, 90.00 90.00 90.00°
Space group Fm-3m (No. 225)
Unique sites:
In (0.000, 0.000, 0.000) x4
Ga (0.250, 0.250, 0.250) x8
Sn (0.000, 0.000, 0.500) x4

***

18.
Here is a geometry-optimized Sr2InGa structure from Alexandria via LeMat-Bulk. Energies are from GGA-PBEsol.

Computed properties:
Formation energy   -38.2 kJ per mole of atoms

Cell: 7.842 7.842 7.842 Å, 90.00 90.00 90.00°
Space group Fm-3m (No. 225)
Unique sites:
Sr (0.250, 0.250, 0.250) x8
In (0.000, 0.000, 0.000) x4
Ga (0.000, 0.000, 0.500) x4

***

19.
Here is a geometry-optimized TaIn3Ga structure from Alexandria via LeMat-Bulk. Energies are from GGA-PBEsol.

Computed properties:
Formation energy   114.9 kJ per mole of atoms

Cell: 5.025 5.025 5.025 Å, 90.00 90.00 90.00°
Space group Pm-3m (No. 221)
Unique sites:
Ta (0.000, 0.000, 0.000) x1
In (0.000, 0.500, 0.500) x3
Ga (0.500, 0.500, 0.500) x1

***

20.
Here is a geometry-optimized In2Ga2Te structure from Alexandria via LeMat-Bulk. Energies are from GGA-PBEsol.

Computed properties:
Formation energy without anion corrections   -11 meV/atom

Cell: 3.854 3.854 16.162 Å, 90.00 90.00 90.00°
Space group I4/mmm (No. 139)
Unique sites:
In (0.000, 0.000, 0.103) x4
Ga (0.000, 0.500, 0.250) x4
Te (0.000, 0.000, 0.500) x2

***

21.
Here is a geometry-optimized In3GaTe4 structure from Alexandria via LeMat-Bulk. Energies are from GGA-PBEsol.

Computed properties:
Formation energy without anion corrections   -258 meV/atom

Cell: 8.257 8.257 6.883 Å, 90.00 90.00 90.00°
Space group I-42m (No. 121)
Unique sites:
In (0.000, 0.000, 0.000) x2
In (0.000, 0.500, 0.000) x4
Ga (0.000, 0.000, 0.500) x2
Te (0.183, 0.183, 0.733) x8

***

22.
Here is a geometry-optimized TlIn2GaTe4 structure from Alexandria via LeMat-Bulk. Energies are from GGA-PBEsol.

Computed properties:
Formation energy without anion corrections   -290 meV/atom

Cell: 6.931 8.283 8.314 Å, 90.00 90.00 90.00°
Space group I222 (No. 23)
Unique sites:
Tl (0.000, 0.000, 0.000) x2
In (0.000, 0.500, 0.000) x2
In (0.000, 0.500, 0.500) x2
Ga (0.000, 0.000, 0.500) x2
Te (0.233, 0.181, 0.681) x8

***

23.
Here is a geometry-optimized TiIn3Ga structure from Alexandria via LeMat-Bulk. Energies are from GGA-PBEsol.

Computed properties:
Formation energy   53.8 kJ per mole of atoms

Cell: 5.279 5.279 5.279 Å, 90.00 90.00 90.00°
Space group Pm-3m (No. 221)
Unique sites:
Ti (0.000, 0.000, 0.000) x1
In (0.000, 0.000, 0.500) x3
Ga (0.500, 0.500, 0.500) x1

***

Quick rundown of total magnetic moment, same order as above: 0.00, 0.00, 0.00, 0.00, 0.00, 0.00, 0.00, 0.00, 0.00, 0.00, 0.00, 0.00, 0.00, 0.00, 0.00, 0.00, 0.00, 0.00, 1.75, 0.00, 0.00, 0.00, 1.52 μB/cell
Quick rundown of DFT total energy, same order as above: -2.83, -5.54, -5.69, -6.19, -6.05, -4.49, -4.53, -4.53, -3.56, -5.19, -4.00, -3.98, -3.89, -3.12, -3.31, -3.32, -3.44, -2.90, -3.78, -3.25, -3.56, -3.55, -3.56 eV/atom